(1)
# Tb8YEr5

A relaxed Tb8YEr5 crystal (GGA-PBE, Alexandria via LeMat-Bulk).

Properties
- Spin magnetization: 0.00 μB per atom
- ΔE_f: 0.25 eV per atom
- E_tot: -0.3295 Ry/atom

a = 8.420 Å, b = 8.420 Å, c = 8.420 Å
α = 111.12°, β = 106.22°, γ = 111.12°
Element x y z (fractional)
Er (0.815, 0.681, 0.718)
Er (0.282, 0.097, 0.963)
Er (0.500, 0.000, 0.500)
Er (0.037, 0.319, 0.134)
Er (0.866, 0.903, 0.185)
Tb (0.667, 0.395, 0.921)
Tb (0.079, 0.746, 0.473)
Tb (0.527, 0.605, 0.273)
Tb (0.342, 0.262, 0.426)
Tb (0.163, 0.738, 0.080)
Tb (0.727, 0.254, 0.333)
Tb (0.920, 0.083, 0.658)
Tb (0.574, 0.917, 0.837)
Y (0.250, 0.500, 0.750)

***

(2)
# Tb4YEr5

A relaxed Tb4YEr5 crystal (GGA-PBE, Alexandria via LeMat-Bulk).

Properties
- Spin magnetization: 0.00 μB per atom
- ΔE_f: 0.19 eV per atom
- E_tot: -0.3372 Ry/atom

a = 3.505 Å, b = 10.928 Å, c = 8.719 Å
α = 90.14°, β = 101.53°, γ = 89.99°
Element x y z (fractional)
Er (0.500, 0.500, 0.000)
Er (0.826, 0.054, 0.651)
Er (0.174, 0.552, 0.347)
Er (0.826, 0.448, 0.653)
Er (0.174, 0.946, 0.349)
Tb (0.347, 0.750, 0.694)
Tb (0.028, 0.749, 0.057)
Tb (0.653, 0.250, 0.306)
Tb (0.972, 0.251, 0.943)
Y (0.500, 0.000, 0.000)

***

(3)
# Tb7Y4Er

A relaxed Tb7Y4Er crystal (GGA-PBE, Alexandria via LeMat-Bulk).

Properties
- Spin magnetization: 0.00 μB per atom
- ΔE_f: 0.28 eV per atom
- E_tot: -0.3641 Ry/atom

a = 5.909 Å, b = 11.573 Å, c = 6.685 Å
α = 83.96°, β = 63.77°, γ = 75.21°
Element x y z (fractional)
Tb (0.064, 0.683, 0.190)
Tb (0.368, 0.499, 0.764)
Tb (0.211, 0.076, 0.502)
Tb (0.500, 0.000, 0.000)
Tb (0.789, 0.924, 0.498)
Tb (0.936, 0.317, 0.810)
Tb (0.632, 0.501, 0.236)
Er (0.000, 0.000, 0.000)
Y (0.240, 0.321, 0.198)
Y (0.361, 0.776, 0.501)
Y (0.760, 0.679, 0.802)
Y (0.639, 0.224, 0.499)